[1]
Computed, not measured: a PBEsol-optimized structure of Y2InAg at the meta-GGA SCAN level of DFT.

The structure in POSCAR format:
```
Y2InAg
1.0
1.778 1.027 9.511
-1.778 1.027 9.511
0.000 -2.053 9.511
Y In Ag
2 1 1
direct
0.000 0.000 0.000
0.233 0.233 0.233
0.754 0.754 0.754
0.489 0.489 0.489
```

Properties
- Formation enthalpy at 0 K: -0.12 eV per atom
- Space-group type: R3m


[2]
Computed, not measured: a PBEsol-optimized structure of KGa3P at the meta-GGA SCAN level of DFT.

The structure in POSCAR format:
```
KGa3P
1.0
5.407 0.000 0.000
0.000 5.407 0.000
0.000 0.000 5.407
K Ga P
1 3 1
direct
0.000 0.000 0.000
0.000 0.000 0.500
0.000 0.500 0.000
0.500 0.000 0.000
0.500 0.500 0.500
```

Properties
- Formation enthalpy at 0 K: 1.52 eV per atom
- Space-group type: Pm-3m


[3]
Computed, not measured: a PBEsol-optimized structure of TaTeAs2 at the meta-GGA SCAN level of DFT.

The structure in POSCAR format:
```
TaTeAs2
1.0
1.763 -2.418 0.000
1.763 2.418 0.000
0.000 0.000 9.609
Ta Te As
1 1 2
direct
0.000 0.000 0.000
0.500 0.500 0.236
0.000 0.000 0.529
0.500 0.500 0.799
```

Properties
- E: -35.713 eV per atom
- Space-group type: Cmm2


[4]
Computed, not measured: a PBEsol-optimized structure of NbTlGa3 at the meta-GGA SCAN level of DFT.

The structure in POSCAR format:
```
NbTlGa3
1.0
5.086 0.000 0.000
0.000 5.086 0.000
0.000 0.000 5.086
Nb Tl Ga
1 1 3
direct
0.000 0.000 0.000
0.500 0.500 0.500
0.000 0.500 0.500
0.500 0.000 0.500
0.500 0.500 0.000
```

Properties
- Formation enthalpy at 0 K: 1.34 eV per atom
- Space-group type: Pm-3m


[5]
Computed, not measured: a PBEsol-optimized structure of SrZn3Au at the meta-GGA SCAN level of DFT.

The structure in POSCAR format:
```
SrZn3Au
1.0
5.755 0.000 0.000
0.000 5.755 0.000
0.000 0.000 5.755
Sr Zn Au
1 3 1
direct
0.000 0.000 0.000
0.000 0.000 0.500
0.000 0.500 0.000
0.500 0.000 0.000
0.500 0.500 0.500
```

Properties
- Formation enthalpy at 0 K: 1.10 eV per atom
- Space-group type: Pm-3m


[6]
Computed, not measured: a PBEsol-optimized structure of ScTeOs2 at the meta-GGA SCAN level of DFT.

The structure in POSCAR format:
```
ScTeOs2
1.0
1.541 -2.460 0.000
1.541 2.460 0.000
0.000 0.000 9.109
Sc Te Os
1 1 2
direct
0.000 0.000 0.000
0.000 0.000 0.500
0.500 0.500 0.235
0.500 0.500 0.765
```

Properties
- E: -48.245 eV per atom
- Space-group type: Cmmm